Crystalline TlHg2W2 at its relaxed geometry. Source: Alexandria, functional PBE.

Unit cell a=7.2870 b=7.2870 c=7.2870 alpha=148.02 beta=148.02 gamma=45.86
Sites, in units of the cell vectors:
Tl (0.0000, 0.0000, 0.0000)
Hg (0.2500, 0.7500, 0.5000)
Hg (0.7500, 0.2500, 0.5000)
W (0.5884, 0.5884, 0.0000)
W (0.4116, 0.4116, 0.0000)

symmetry	I4/mmm
total moment	0.00	μB/f.u.
N(E_F)	3.730	states/eV/f.u.
DFT formation energy	1.17	eV per atom
crystal system	tetragonal